No. 1
BaEuPt2: relaxed, PBE-GGA.

a b c (Å): 7.473 7.473 7.473
angles (deg): 90.00 90.00 90.00
Space group Fm-3m (No. 225)
Asymmetric unit:
Ba1 0.000 0.000 0.000 [4 per cell]
Eu1 0.000 0.000 0.500 [4 per cell]
Pt1 0.250 0.250 0.250 [8 per cell]

Results
Its spin magnetization is 6.88 μB per formula unit. As for the formation energy: -707 meV per atom. Its distance to the lowest polymorph of the same formula is 24.7 kJ/mol of formula units.

---

No. 2
Ba3EuPt: relaxed, PBE-GGA.

a b c (Å): 6.330 6.330 6.330
angles (deg): 90.00 90.00 90.00
Space group Pm-3m (No. 221)
Asymmetric unit:
Ba1 0.000 0.000 0.500 [3 per cell]
Eu1 0.500 0.500 0.500 [1 per cell]
Pt1 0.000 0.000 0.000 [1 per cell]

Results
Its spin magnetization is 7.52 μB per formula unit. As for the formation energy: -342 meV per atom.

---

No. 3
RbBa2Eu: relaxed, PBE-GGA.

a b c (Å): 10.020 10.020 10.020
angles (deg): 90.00 90.00 90.00
Space group Fm-3m (No. 225)
Asymmetric unit:
Rb1 0.000 0.000 0.000 [4 per cell]
Ba1 0.250 0.250 0.250 [8 per cell]
Eu1 0.000 0.000 0.500 [4 per cell]

Results
Its spin magnetization is 8.00 μB per formula unit. As for the formation energy: 171 meV per atom. Its distance to the lowest polymorph of the same formula is 29.7 kJ/mol of formula units.

---

Number 1: total energy -108.43 eV/cell. Number 2: total energy -23.79 eV/cell. Number 3: total energy -57.62 eV/cell.